Material: Li2NiAg
Method: DFT, PBE
State: optimized geometry

a b c (Å): 2.682 4.043 5.290
angles (deg): 90.00 90.00 90.00
Fractional coordinates of all 4 atoms:
Li 0.000 0.000 0.000
Li 0.500 0.500 0.272
Ni 0.000 0.000 0.501
Ag 0.500 0.500 0.748

Space group: Pmm2 (25)
E in eV per atom: -3.1041

Material: Tb2Al5Fe5
Method: DFT, PBE
State: optimized geometry

a b c (Å): 4.071 5.144 9.130
angles (deg): 90.00 90.00 90.00
Fractional coordinates of all 12 atoms:
Tb 0.000 0.000 0.000
Tb 0.000 0.500 0.500
Al 0.000 0.000 0.315
Al 0.000 0.000 0.685
Al 0.000 0.500 0.169
Al 0.000 0.500 0.831
Al 0.500 0.000 0.500
Fe 0.500 0.257 0.246
Fe 0.500 0.257 0.754
Fe 0.500 0.500 0.000
Fe 0.500 0.743 0.246
Fe 0.500 0.743 0.754

Space group: Pmmm (47)
E in eV per atom: -6.1526

Material: TePdI2F
Method: DFT, PBE
State: optimized geometry

a b c (Å): 5.815 5.815 4.187
angles (deg): 90.00 90.00 90.00
Fractional coordinates of all 5 atoms:
Te 0.000 0.000 0.000
Pd 0.500 0.500 0.000
I 0.000 0.500 0.500
I 0.500 0.000 0.500
F 0.000 0.000 0.500

Space group: P4/mmm (123)
ΔE to the lowest computed polymorph in meV per atom: 151
Energy relative to the elements, uncorrected in kJ per mole of atoms: 23.2

Please write out number 2 again, unchanged.
Material: Tb2Al5Fe5
Method: DFT, PBE
State: optimized geometry

a b c (Å): 4.071 5.144 9.130
angles (deg): 90.00 90.00 90.00
Fractional coordinates of all 12 atoms:
Tb 0.000 0.000 0.000
Tb 0.000 0.500 0.500
Al 0.000 0.000 0.315
Al 0.000 0.000 0.685
Al 0.000 0.500 0.169
Al 0.000 0.500 0.831
Al 0.500 0.000 0.500
Fe 0.500 0.257 0.246
Fe 0.500 0.257 0.754
Fe 0.500 0.500 0.000
Fe 0.500 0.743 0.246
Fe 0.500 0.743 0.754

Space group: Pmmm (47)
E in eV per atom: -6.1526